1.
Entry from OQMD via LeMat-Bulk: a relaxed structure of IrBr3 (PBE).

Energy relative to the lowest polymorph listed for this composition ... 57 meV per atom
DFT total energy ... -29.36 eV for the cell shown
Space group ... No. 193
Total magnetic moment ... 0.00 μB per cell

Structure (extended XYZ):
```
8
Lattice="6.3718 0.0000 0.0000 -3.1859 5.5182 0.0000 0.0000 0.0000 6.4965" Properties=species:S:1:pos:R:3 pbc="T T T"
Ir 0.0000 0.0000 0.0000
Ir 0.0000 0.0000 3.2482
Br -0.9564 1.6565 1.6241
Br -2.2295 3.8616 4.8724
Br 1.9128 0.0000 1.6241
Br 0.9564 1.6565 4.8724
Br 4.4590 0.0000 4.8724
Br 2.2295 3.8616 1.6241
```

---

2.
Entry from OQMD via LeMat-Bulk: a relaxed structure of IrBr4 (PBE).

Energy relative to the lowest polymorph listed for this composition ... 327 meV per atom
DFT total energy ... -29.39 eV for the cell shown
Space group ... No. 141
Total magnetic moment ... 0.01 μB per cell

Structure (extended XYZ):
```
10
Lattice="-4.0059 4.0059 4.0559 4.0059 -4.0059 4.0559 4.0059 4.0059 -4.0559" Properties=species:S:1:pos:R:3 pbc="T T T"
Ir 4.0059 2.0030 1.0140
Ir 0.0000 2.0030 3.0419
Br 4.0059 -0.3908 1.5573
Br 4.0059 3.6151 -1.5573
Br 1.6121 2.0030 0.4707
Br 2.3938 -2.0030 4.5265
Br 1.6121 6.0089 -0.4707
Br 2.3938 2.0030 3.5852
Br 0.0000 0.3908 5.6131
Br 0.0000 4.3968 2.4986
```

---

3.
Entry from OQMD via LeMat-Bulk: a relaxed structure of IrBr4 (PBE).

Energy relative to the lowest polymorph listed for this composition ... 0 meV per atom
DFT total energy ... -32.66 eV for the cell shown
Space group ... No. 26
Total magnetic moment ... 0.87 μB per cell

Structure (extended XYZ):
```
10
Lattice="3.6632 0.0000 0.0000 0.0000 5.8959 0.0000 0.0000 0.0000 12.9634" Properties=species:S:1:pos:R:3 pbc="T T T"
Ir 0.0000 1.4596 0.0000
Ir 0.0000 4.4364 6.4817
Br 0.0000 0.0036 4.5011
Br 0.0000 2.9252 1.9818
Br 0.0000 2.9708 8.4635
Br 0.0000 5.8924 10.9828
Br 1.8316 0.0939 1.0227
Br 1.8316 2.8258 11.9419
Br 1.8316 3.0702 5.4602
Br 1.8316 5.8020 7.5044
```